(1)
Computed, not measured: an optimized crystal structure of AcPu2MgO8 at the PBE level of DFT.

Cell and atoms, written as POSCAR:
```
AcPu2MgO8
1.0
5.467 0.000 0.000
0.000 5.467 0.000
-2.733 -2.733 5.312
Ac Pu Mg O
1 2 1 8
direct
0.000 0.000 0.000
0.500 0.500 0.000
0.250 0.750 0.500
0.750 0.250 0.500
0.882 0.808 0.230
0.349 0.422 0.230
0.609 0.573 0.715
0.106 0.142 0.715
0.858 0.391 0.285
0.427 0.894 0.285
0.192 0.651 0.770
0.578 0.118 0.770
```

Properties
Electronic total energy = -106.3 eV/f.u.
Energy relative to the elements, uncorrected = -2.689 eV per atom

***

(2)
Computed, not measured: an optimized crystal structure of LaAlBr2 at the PBE level of DFT.

Cell and atoms, written as POSCAR:
```
LaAlBr2
1.0
-2.262 -6.110 1.798
2.914 -4.185 4.435
-2.327 6.252 -1.083
Al Br La
1 2 1
direct
0.261 0.761 0.500
0.986 0.986 0.000
0.725 0.225 0.500
0.527 0.527 0.000
```

Properties
Electronic total energy = -15.4 eV/f.u.
Energy relative to the elements, uncorrected = -0.849 eV per atom

***

(3)
Computed, not measured: an optimized crystal structure of Na2H3Rh at the PBE level of DFT.

Cell and atoms, written as POSCAR:
```
Na2H3Rh
1.0
4.819 0.000 0.000
0.000 5.960 0.016
-2.410 -1.479 4.642
Na H Rh
4 6 2
direct
0.661 0.582 0.327
0.666 0.082 0.327
0.334 0.918 0.673
0.339 0.418 0.673
0.371 0.250 0.000
0.629 0.750 0.000
0.114 0.055 0.225
0.889 0.445 0.775
0.111 0.555 0.225
0.886 0.945 0.775
0.977 0.750 0.000
0.023 0.250 0.000
```

Properties
Electronic total energy = -21.2 eV/f.u.

***

(4)
Computed, not measured: an optimized crystal structure of Pm2PuPbN at the PBE level of DFT.

Cell and atoms, written as POSCAR:
```
Pm2PuPbN
1.0
4.753 0.000 0.000
0.000 5.053 0.000
0.000 0.000 5.053
Pm Pu Pb N
2 1 1 1
direct
0.000 0.000 0.500
0.000 0.500 0.000
0.500 0.000 0.000
0.500 0.500 0.500
0.000 0.000 0.000
```

Properties
Electronic total energy = -39.9 eV/f.u.
Energy relative to the elements, uncorrected = -0.809 eV per atom

***

(5)
Computed, not measured: an optimized crystal structure of CoSbRu2Br at the PBE level of DFT.

Cell and atoms, written as POSCAR:
```
CoSbRu2Br
1.0
-1.143 -0.615 -4.511
1.309 -4.092 0.226
-4.322 -1.313 1.275
Sb Co Br Ru
1 1 1 2
direct
0.500 0.500 0.500
0.000 0.500 0.000
0.000 0.000 0.000
0.000 0.000 0.500
0.500 0.000 0.000
```

Properties
Electronic total energy = -25.2 eV/f.u.
Energy relative to the elements, uncorrected = 1.243 eV per atom

***

(6)
Computed, not measured: an optimized crystal structure of K2Te2H at the PBE level of DFT.

Cell and atoms, written as POSCAR:
```
K2Te2H
1.0
-2.750 -3.335 2.842
-2.554 -5.013 -3.646
7.698 -8.678 1.972
K Te H
4 4 2
direct
0.674 0.268 0.385
0.911 0.281 0.897
0.326 0.732 0.615
0.089 0.719 0.103
0.043 0.323 0.591
0.632 0.867 0.869
0.957 0.677 0.409
0.368 0.133 0.131
0.703 0.873 0.721
0.297 0.127 0.279
```

Properties
Electronic total energy = -14.9 eV/f.u.

***

Number 1: magnetization 5.00 Bohr magnetons per cell. Number 2: magnetization 0.00 Bohr magnetons per cell. Number 3: magnetization 0.00 Bohr magnetons per cell. Number 4: magnetization 6.00 Bohr magnetons per cell. Number 5: magnetization 3.07 Bohr magnetons per cell. Number 6: magnetization 0.00 Bohr magnetons per cell.